Here is a geometry-optimized TePt2W structure from the Alexandria database. Energies are from PBEsol.

```
data_TePt2W
_chemical_formula_sum 'Te1 Pt2 W1'
_space_group_name_H-M_alt 'P 1'
_space_group_IT_number 1
_space_group_name_Hall 'P 1'
_cell_length_a 2.800
_cell_length_b 4.975
_cell_length_c 4.975
_cell_angle_alpha 90.00
_cell_angle_beta 90.00
_cell_angle_gamma 90.00
loop_
_atom_site_label
_atom_site_type_symbol
_atom_site_fract_x
_atom_site_fract_y
_atom_site_fract_z
_atom_site_occupancy
Pt1 Pt 0.000 0.000 0.500 1
Te1 Te 0.500 0.500 0.500 1
Pt2 Pt 0.000 0.500 0.000 1
W1 W 0.500 0.000 0.000 1
```

Calculated values
- Raw formation energy: 0.3687 eV per atom
- Raw total energy: -7.446 eV per atom
- D(E_F): 0.80 states/eV/atom
- Crystal system: tetragonal

***

Here is a geometry-optimized CaZn2W structure from the Alexandria database. Energies are from PBEsol.

```
data_CaZn2W
_chemical_formula_sum 'Ca1 Zn2 W1'
_space_group_name_H-M_alt 'P 1'
_space_group_IT_number 1
_space_group_name_Hall 'P 1'
_cell_length_a 2.866
_cell_length_b 4.814
_cell_length_c 4.815
_cell_angle_alpha 90.00
_cell_angle_beta 90.03
_cell_angle_gamma 90.00
loop_
_atom_site_label
_atom_site_type_symbol
_atom_site_fract_x
_atom_site_fract_y
_atom_site_fract_z
_atom_site_occupancy
Zn1 Zn 0.881 0.000 0.876 1
W1 W 0.342 0.500 0.875 1
Ca1 Ca 0.396 0.000 0.376 1
Zn2 Zn 0.881 0.500 0.374 1
```

Calculated values
- ΔE_f: 123 kJ/mol of formula units
- Raw total energy: -4.457 eV per atom
- D(E_F): 0.28 states/eV/atom
- Crystal system: monoclinic

***

Here is a geometry-optimized KBa2Sr structure from the Alexandria database. Energies are from PBEsol.

```
data_KBa2Sr
_chemical_formula_sum 'K1 Ba2 Sr1'
_space_group_name_H-M_alt 'P 1'
_space_group_IT_number 1
_space_group_name_Hall 'P 1'
_cell_length_a 4.660
_cell_length_b 7.118
_cell_length_c 8.278
_cell_angle_alpha 115.47
_cell_angle_beta 106.35
_cell_angle_gamma 90.00
loop_
_atom_site_label
_atom_site_type_symbol
_atom_site_fract_x
_atom_site_fract_y
_atom_site_fract_z
_atom_site_occupancy
Sr1 Sr 0.000 0.500 0.000 1
Ba1 Ba 0.247 0.247 0.495 1
Ba2 Ba 0.753 0.753 0.505 1
K1 K 0.500 0.000 0.000 1
```

Calculated values
- ΔE_f: 36 kJ/mol of formula units
- Raw total energy: -1.725 eV per atom
- D(E_F): 1.39 states/eV/atom
- Crystal system: orthorhombic

***

Here is a geometry-optimized LuCl3 structure from the Alexandria database. Energies are from PBEsol.

```
data_LuCl3
_chemical_formula_sum 'Lu2 Cl6'
_space_group_name_H-M_alt 'P 1'
_space_group_IT_number 1
_space_group_name_Hall 'P 1'
_cell_length_a 3.440
_cell_length_b 9.523
_cell_length_c 9.523
_cell_angle_alpha 120.00
_cell_angle_beta 90.00
_cell_angle_gamma 90.00
loop_
_atom_site_label
_atom_site_type_symbol
_atom_site_fract_x
_atom_site_fract_y
_atom_site_fract_z
_atom_site_occupancy
Cl1 Cl 0.750 0.783 0.217 1
Cl2 Cl 0.750 0.434 0.217 1
Cl3 Cl 0.250 0.217 0.783 1
Cl4 Cl 0.250 0.566 0.783 1
Cl5 Cl 0.250 0.217 0.434 1
Lu1 Lu 0.250 0.667 0.333 1
Lu2 Lu 0.750 0.333 0.667 1
Cl6 Cl 0.750 0.783 0.566 1
```

Calculated values
- Raw formation energy: -2.1859 eV per atom
- Raw total energy: -4.910 eV per atom
- D(E_F): 0.00 states/eV/atom
- Crystal system: hexagonal

***

Here is a geometry-optimized NiRhCN2 structure from the Alexandria database. Energies are from PBEsol.

```
data_NiRhCN2
_chemical_formula_sum 'Ni1 Rh1 C1 N2'
_space_group_name_H-M_alt 'P 1'
_space_group_IT_number 1
_space_group_name_Hall 'P 1'
_cell_length_a 3.520
_cell_length_b 3.520
_cell_length_c 3.567
_cell_angle_alpha 90.00
_cell_angle_beta 90.00
_cell_angle_gamma 90.00
loop_
_atom_site_label
_atom_site_type_symbol
_atom_site_fract_x
_atom_site_fract_y
_atom_site_fract_z
_atom_site_occupancy
Rh1 Rh 0.500 0.500 0.500 1
C1 C 0.000 0.000 0.000 1
N1 N 0.000 0.500 0.000 1
N2 N 0.500 0.000 0.000 1
Ni1 Ni 0.000 0.000 0.500 1
```

Calculated values
- Raw formation energy: 1.8451 eV per atom
- Raw total energy: -6.353 eV per atom
- D(E_F): 0.71 states/eV/atom
- Crystal system: tetragonal

***

Here is a geometry-optimized SrCu3O structure from the Alexandria database. Energies are from PBEsol.

```
data_SrCu3O
_chemical_formula_sum 'Sr1 Cu3 O1'
_space_group_name_H-M_alt 'P 1'
_space_group_IT_number 1
_space_group_name_Hall 'P 1'
_cell_length_a 4.268
_cell_length_b 4.268
_cell_length_c 4.268
_cell_angle_alpha 90.00
_cell_angle_beta 90.00
_cell_angle_gamma 90.00
loop_
_atom_site_label
_atom_site_type_symbol
_atom_site_fract_x
_atom_site_fract_y
_atom_site_fract_z
_atom_site_occupancy
Cu1 Cu 0.000 0.500 0.000 1
O1 O 0.000 0.000 0.000 1
Cu2 Cu 0.000 0.000 0.500 1
Cu3 Cu 0.500 0.000 0.000 1
Sr1 Sr 0.500 0.500 0.500 1
```

Calculated values
- Raw formation energy: 0.1057 eV per atom
- Raw total energy: -3.913 eV per atom
- D(E_F): 0.33 states/eV/atom
- Crystal system: cubic

***

Here is a geometry-optimized ICl2F structure from the Alexandria database. Energies are from PBEsol.

```
data_ICl2F
_chemical_formula_sum 'I1 Cl2 F1'
_space_group_name_H-M_alt 'P 1'
_space_group_IT_number 1
_space_group_name_Hall 'P 1'
_cell_length_a 3.503
_cell_length_b 3.503
_cell_length_c 8.815
_cell_angle_alpha 78.54
_cell_angle_beta 78.54
_cell_angle_gamma 60.00
loop_
_atom_site_label
_atom_site_type_symbol
_atom_site_fract_x
_atom_site_fract_y
_atom_site_fract_z
_atom_site_occupancy
F1 F 0.000 0.000 0.000 1
Cl1 Cl 0.922 0.922 0.234 1
I1 I 0.500 0.500 0.500 1
Cl2 Cl 0.078 0.078 0.766 1
```

Calculated values
- Raw formation energy: 0.1456 eV per atom
- Raw total energy: -1.782 eV per atom
- D(E_F): 0.95 states/eV/atom
- Crystal system: trigonal

***

Here is a geometry-optimized AlTc2ClF structure from the Alexandria database. Energies are from PBEsol.

```
data_AlTc2ClF
_chemical_formula_sum 'Al1 Tc2 Cl1 F1'
_space_group_name_H-M_alt 'P 1'
_space_group_IT_number 1
_space_group_name_Hall 'P 1'
_cell_length_a 4.020
_cell_length_b 4.020
_cell_length_c 4.842
_cell_angle_alpha 90.00
_cell_angle_beta 90.00
_cell_angle_gamma 90.00
loop_
_atom_site_label
_atom_site_type_symbol
_atom_site_fract_x
_atom_site_fract_y
_atom_site_fract_z
_atom_site_occupancy
Tc1 Tc 0.500 0.000 0.000 1
Tc2 Tc 0.000 0.500 0.000 1
F1 F 0.000 0.000 0.000 1
Al1 Al 0.500 0.500 0.500 1
Cl1 Cl 0.000 0.000 0.500 1
```

Calculated values
- Raw formation energy: 0.6554 eV per atom
- Raw total energy: -5.457 eV per atom
- D(E_F): 0.91 states/eV/atom
- Crystal system: tetragonal